The following is a DFT calculation (PBE-GGA) of crystalline SiHg2Mo at its relaxed geometry. Values from VASP.

Results
Formation energy without anion corrections in meV per atom: 583
Crystal system: monoclinic
SG: P2/m, No. 10
E_tot in eV for the cell shown: -14.53

Cell and atoms, written as Quantum ESPRESSO input:
```
&SYSTEM
  ibrav = 0, nat = 4, ntyp = 3
/
ATOMIC_SPECIES
Hg 200.59 Hg.upf
Mo 95.94 Mo.upf
Si 28.09 Si.upf
CELL_PARAMETERS angstrom
5.3800 0.0000 0.0000
0.0000 2.8665 0.0063
0.0000 -0.2811 4.8798
ATOMIC_POSITIONS angstrom
Hg 0.0000 2.8221 0.0171
Hg 0.0000 1.3371 2.4322
Mo 2.6900 0.6463 1.2215
Si 2.6900 1.9390 3.6645
```